Record 1
Density functional theory data (PBE with a Hubbard U) for crystalline Fe2OsF at its relaxed geometry.

Cell lengths 5.3723, 5.3723, 5.3723 Å; angles 110.74, 110.74, 106.96 degrees
Fractional positions:
Fe 0.0674 0.6250 0.9424
Fe 0.3750 0.3174 0.4424
Fe 0.6826 0.1250 0.0576
Fe 0.8750 0.9326 0.5576
Os 0.2500 0.7500 0.5000
Os 0.5000 0.5000 0.0000
F 0.0000 0.0000 0.0000
F 0.7500 0.2500 0.5000

Calculated values
energy relative to the lowest polymorph listed for this composition	0.0000	eV per atom
N(E_F)	0.975	states/eV per atom

=====

Record 2
Density functional theory data (PBE with a Hubbard U) for crystalline Fe2OsF at its relaxed geometry.

Cell lengths 4.3249, 4.3249, 4.3249 Å; angles 60.00, 60.00, 60.00 degrees
Fractional positions:
Fe 0.2500 0.2500 0.2500
Fe 0.7500 0.7500 0.7500
Os 0.0000 0.0000 0.0000
F 0.5000 0.5000 0.5000

Calculated values
energy relative to the lowest polymorph listed for this composition	0.4280	eV per atom
N(E_F)	0.456	states/eV per atom

=====

Record 3
Density functional theory data (PBE with a Hubbard U) for crystalline FeOs2F at its relaxed geometry.

Cell lengths 5.5656, 5.5656, 5.5656 Å; angles 99.42, 99.42, 132.28 degrees
Fractional positions:
Fe 0.0000 0.0000 0.0000
Fe 0.7500 0.2500 0.5000
Os 0.1904 0.6250 0.0654
Os 0.3750 0.4404 0.5654
Os 0.5596 0.1250 0.9346
Os 0.8750 0.8096 0.4346
F 0.2500 0.7500 0.5000
F 0.5000 0.5000 0.0000

Calculated values
energy relative to the lowest polymorph listed for this composition	0.0490	eV per atom
N(E_F)	0.650	states/eV per atom

=====

Record 4
Density functional theory data (PBE with a Hubbard U) for crystalline FeOsF3 at its relaxed geometry.

Cell lengths 4.1846, 4.1846, 4.1846 Å; angles 90.00, 90.00, 90.00 degrees
Fractional positions:
Fe 0.0000 0.0000 0.0000
Os 0.5000 0.5000 0.5000
F 0.0000 0.5000 0.5000
F 0.5000 0.0000 0.5000
F 0.5000 0.5000 0.0000

Calculated values
energy relative to the lowest polymorph listed for this composition	0.0677	eV per atom
N(E_F)	0.661	states/eV per atom

=====

Record 5
Density functional theory data (PBE with a Hubbard U) for crystalline FeOsF3 at its relaxed geometry.

Cell lengths 4.1511, 4.1511, 4.1511 Å; angles 90.00, 90.00, 90.00 degrees
Fractional positions:
Fe 0.0000 0.0000 0.0000
Os 0.5000 0.5000 0.5000
F 0.0000 0.0000 0.5000
F 0.0000 0.5000 0.0000
F 0.5000 0.0000 0.0000

Calculated values
energy relative to the lowest polymorph listed for this composition	0.0000	eV per atom
N(E_F)	1.377	states/eV per atom

=====

Record 6
Density functional theory data (PBE with a Hubbard U) for crystalline Rb2FeOsF6 at its relaxed geometry.

Cell lengths 6.0015, 6.0015, 6.0015 Å; angles 119.34, 119.34, 91.14 degrees
Fractional positions:
Rb 0.2500 0.7500 0.5000
Rb 0.7500 0.2500 0.5000
Fe 0.0000 0.0000 0.0000
Os 0.5000 0.5000 0.0000
F 0.2425 0.2425 0.0000
F 0.2490 0.2490 0.4979
F 0.2490 0.7510 0.0000
F 0.7510 0.2490 0.0000
F 0.7510 0.7510 0.5021
F 0.7575 0.7575 0.0000

=====

Record 7
Density functional theory data (PBE with a Hubbard U) for crystalline Fe2SbOsF at its relaxed geometry.

Cell lengths 4.9787, 4.9787, 4.9191 Å; angles 90.00, 90.00, 90.00 degrees
Fractional positions:
Fe 0.0000 0.5000 0.0000
Fe 0.5000 0.0000 0.0000
Sb 0.0000 0.0000 0.5000
Os 0.0000 0.0000 0.0000
F 0.5000 0.5000 0.5000

Calculated values
N(E_F)	0.679	states/eV per atom

=====

Record 8
Density functional theory data (PBE with a Hubbard U) for crystalline TaFeOsF2 at its relaxed geometry.

Cell lengths 3.7005, 3.7005, 7.1258 Å; angles 90.00, 90.00, 90.00 degrees
Fractional positions:
Ta 0.0000 0.0000 0.0000
Fe 0.0000 0.0000 0.5000
Os 0.5000 0.5000 0.0000
F 0.0000 0.5000 0.5000
F 0.5000 0.0000 0.5000

Calculated values
N(E_F)	0.677	states/eV per atom

=====

Record 9
Density functional theory data (PBE with a Hubbard U) for crystalline FeTe2OsF at its relaxed geometry.

Cell lengths 5.1073, 5.1073, 3.9372 Å; angles 90.00, 90.00, 90.00 degrees
Fractional positions:
Fe 0.0000 0.0000 0.0000
Te 0.0000 0.5000 0.5000
Te 0.5000 0.0000 0.5000
Os 0.5000 0.5000 0.0000
F 0.5000 0.5000 0.5000

Calculated values
N(E_F)	1.630	states/eV per atom

=====

Record 10
Density functional theory data (PBE with a Hubbard U) for crystalline FeP2F at its relaxed geometry.

Cell lengths 4.1813, 4.1813, 4.1813 Å; angles 60.00, 60.00, 60.00 degrees
Fractional positions:
Fe 0.0000 0.0000 0.0000
P 0.2500 0.2500 0.2500
P 0.7500 0.7500 0.7500
F 0.5000 0.5000 0.5000

Calculated values
N(E_F)	0.241	states/eV per atom

=====

Record 11
Density functional theory data (PBE with a Hubbard U) for crystalline Fe2PF at its relaxed geometry.

Cell lengths 4.2256, 4.2256, 4.2256 Å; angles 60.00, 60.00, 60.00 degrees
Fractional positions:
Fe 0.2500 0.2500 0.2500
Fe 0.7500 0.7500 0.7500
P 0.0000 0.0000 0.0000
F 0.5000 0.5000 0.5000

Calculated values
N(E_F)	0.291	states/eV per atom

=====

Record 12
Density functional theory data (PBE with a Hubbard U) for crystalline FePS2F at its relaxed geometry.

Cell lengths 4.9565, 4.9565, 3.6338 Å; angles 90.00, 90.00, 90.00 degrees
Fractional positions:
Fe 0.0000 0.0000 0.0000
P 0.5000 0.5000 0.0000
S 0.0000 0.5000 0.5000
S 0.5000 0.0000 0.5000
F 0.5000 0.5000 0.5000

Calculated values
energy relative to the lowest polymorph listed for this composition	0.0638	eV per atom
N(E_F)	0.519	states/eV per atom

=====

| no. | uncorrected energy (eV/atom) |
| --- | --- |
| 1 | -5.763 |
| 2 | -5.335 |
| 3 | -6.548 |
| 4 | -4.734 |
| 5 | -4.802 |
| 6 | -4.966 |
| 7 | -5.173 |
| 8 | -6.846 |
| 9 | -3.937 |
| 10 | -4.470 |
| 11 | -4.910 |
| 12 | -3.603 |